# 1
# NbC | Alexandria via LeMat-Bulk | PBE | optimized geometry
# Fermi-level density of states in states/eV/cell: 16.551
# Energy in eV per atom: -9.27
data_NbC
_chemical_formula_sum 'Nb8 C8'
_cell_length_a 6.646
_cell_length_b 6.646
_cell_length_c 6.646
_cell_angle_alpha 90.00
_cell_angle_beta 90.00
_cell_angle_gamma 90.00
_space_group_name_H-M_alt 'I -4 3 m'
_space_group_IT_number 217
_space_group_name_Hall 'I -4 2 3'
loop_
_atom_site_label
_atom_site_type_symbol
_atom_site_fract_x
_atom_site_fract_y
_atom_site_fract_z
_atom_site_occupancy
Nb1 Nb 0.160 0.160 0.840 1
C1 C 0.159 0.159 0.159 1

=====

# 2
# LaZn2I6 | Alexandria via LeMat-Bulk | PBE | optimized geometry
# Fermi-level density of states in states/eV/cell: 4.875
# Uncorrected formation energy in meV/atom: -853
# Energy in eV per atom: -2.72
data_LaZn2I6
_chemical_formula_sum 'La3 Zn6 I18'
_cell_length_a 7.8550
_cell_length_b 7.8550
_cell_length_c 24.3873
_cell_angle_alpha 90.00
_cell_angle_beta 90.00
_cell_angle_gamma 120.00
_space_group_name_H-M_alt 'R 3'
_space_group_IT_number 146
_space_group_name_Hall 'R 3'
loop_
_atom_site_label
_atom_site_type_symbol
_atom_site_fract_x
_atom_site_fract_y
_atom_site_fract_z
_atom_site_occupancy
La1 La 0.0000 0.0000 0.0000 1
Zn1 Zn 0.0000 0.0000 0.2811 1
Zn2 Zn 0.0000 0.0000 0.3852 1
I1 I 0.0044 0.3587 0.7488 1
I2 I 0.0049 0.6455 0.5843 1

=====

# 3
# BeInTe2 | Alexandria via LeMat-Bulk | PBE | optimized geometry
# Fermi-level density of states in states/eV/cell: 5.829
# Uncorrected formation energy in meV/atom: 482
# Energy in eV per atom: -2.70
data_BeInTe2
_chemical_formula_sum 'Be2 In2 Te4'
_cell_length_a 7.114
_cell_length_b 7.486
_cell_length_c 3.715
_cell_angle_alpha 90.00
_cell_angle_beta 90.00
_cell_angle_gamma 90.00
_space_group_name_H-M_alt 'C m m m'
_space_group_IT_number 65
_space_group_name_Hall '-C 2 2'
loop_
_atom_site_label
_atom_site_type_symbol
_atom_site_fract_x
_atom_site_fract_y
_atom_site_fract_z
_atom_site_occupancy
Be1 Be 0.000 0.000 0.000 1
In1 In 0.000 0.500 0.000 1
Te1 Te 0.250 0.250 0.500 1

=====

# 4
# Cs2NbTcI6 | Alexandria via LeMat-Bulk | PBE | optimized geometry
# Fermi-level density of states in states/eV/cell: 47.977
# Uncorrected formation energy in meV/atom: -481
# Energy in eV per atom: -3.63
data_Cs2NbTcI6
_chemical_formula_sum 'Cs8 Nb4 Tc4 I24'
_cell_length_a 11.787
_cell_length_b 11.787
_cell_length_c 11.787
_cell_angle_alpha 90.00
_cell_angle_beta 90.00
_cell_angle_gamma 90.00
_space_group_name_H-M_alt 'F m -3 m'
_space_group_IT_number 225
_space_group_name_Hall '-F 4 2 3'
loop_
_atom_site_label
_atom_site_type_symbol
_atom_site_fract_x
_atom_site_fract_y
_atom_site_fract_z
_atom_site_occupancy
Cs1 Cs 0.250 0.250 0.250 1
Nb1 Nb 0.000 0.000 0.000 1
Tc1 Tc 0.000 0.000 0.500 1
I1 I 0.000 0.000 0.249 1

=====

Question: The lowest energy belongs to which entry?
Answer: NbC

=====

Question: Which of these has the lowest Fermi-level density of states?
Answer: LaZn2I6

=====

Repeat the fourth record exactly.
# Cs2NbTcI6 | Alexandria via LeMat-Bulk | PBE | optimized geometry
# Fermi-level density of states in states/eV/cell: 47.977
# Uncorrected formation energy in meV/atom: -481
# Energy in eV per atom: -3.63
data_Cs2NbTcI6
_chemical_formula_sum 'Cs8 Nb4 Tc4 I24'
_cell_length_a 11.787
_cell_length_b 11.787
_cell_length_c 11.787
_cell_angle_alpha 90.00
_cell_angle_beta 90.00
_cell_angle_gamma 90.00
_space_group_name_H-M_alt 'F m -3 m'
_space_group_IT_number 225
_space_group_name_Hall '-F 4 2 3'
loop_
_atom_site_label
_atom_site_type_symbol
_atom_site_fract_x
_atom_site_fract_y
_atom_site_fract_z
_atom_site_occupancy
Cs1 Cs 0.250 0.250 0.250 1
Nb1 Nb 0.000 0.000 0.000 1
Tc1 Tc 0.000 0.000 0.500 1
I1 I 0.000 0.000 0.249 1